(1)
PBE-GGA Ca2SmTl, optimized geometry; total magnetic moment = 0.00 μB per atom; calculated total energy = -2.961 eV per atom; energy of formation = -0.189 eV per atom
1.0
4.909 0.000 0.000
0.000 4.909 0.000
0.000 0.000 5.279
Ca Sm Tl
2 1 1
direct
0.000 0.500 0.000
0.500 0.000 0.000
0.000 0.000 0.500
0.500 0.500 0.500

---

(2)
PBE-GGA Ca4Sm3Tl4, optimized geometry; total magnetic moment = 0.00 μB per atom; calculated total energy = -3.111 eV per atom; energy of formation = -0.236 eV per atom
1.0
-2.702 3.669 8.795
2.702 -3.669 8.795
2.702 3.669 -8.795
Ca Sm Tl
4 3 4
direct
0.052 0.819 0.233
0.414 0.181 0.233
0.586 0.819 0.767
0.948 0.181 0.767
0.000 0.500 0.500
0.403 0.403 0.000
0.597 0.597 0.000
0.180 0.680 0.500
0.291 0.000 0.291
0.709 0.000 0.709
0.820 0.320 0.500

---

(3)
PBE-GGA CaSm4Tl5, optimized geometry; total magnetic moment = 0.00 μB per atom; calculated total energy = -3.660 eV per atom; energy of formation = -0.389 eV per atom
1.0
3.837 0.000 0.000
0.000 3.837 0.000
0.000 0.000 19.617
Ca Sm Tl
1 4 5
direct
0.000 0.000 0.000
0.000 0.000 0.199
0.000 0.000 0.401
0.000 0.000 0.599
0.000 0.000 0.801
0.500 0.500 0.101
0.500 0.500 0.301
0.500 0.500 0.500
0.500 0.500 0.699
0.500 0.500 0.899

---

(4)
PBE-GGA CaSmTl4, optimized geometry; total magnetic moment = 0.00 μB per atom; calculated total energy = -2.953 eV per atom; energy of formation = -0.255 eV per atom
1.0
5.066 0.000 0.000
2.533 4.448 0.000
0.000 0.076 7.816
Ca Sm Tl
1 1 4
direct
0.000 0.000 0.000
0.000 0.000 0.500
0.331 0.334 0.191
0.334 0.333 0.676
0.666 0.667 0.324
0.669 0.666 0.809

---

(5)
PBE-GGA CaSm5Tl6, optimized geometry; total magnetic moment = 0.00 μB per atom; calculated total energy = -3.699 eV per atom; energy of formation = -0.382 eV per atom
1.0
4.734 -8.206 0.000
4.734 8.206 0.000
-3.126 0.000 4.460
Ca Sm Tl
1 5 6
direct
0.000 0.000 0.000
0.163 0.837 0.500
0.332 0.668 0.000
0.500 0.500 0.500
0.668 0.332 0.000
0.837 0.163 0.500
0.085 0.418 0.251
0.252 0.252 0.752
0.418 0.085 0.251
0.582 0.915 0.749
0.748 0.748 0.248
0.915 0.582 0.749

---

(6)
PBE-GGA Ca2Sm3Tl2, optimized geometry; total magnetic moment = 0.00 μB per atom; calculated total energy = -3.435 eV per atom; energy of formation = -0.164 eV per atom
1.0
5.697 -2.441 0.000
5.697 2.441 0.000
-2.667 0.000 8.318
Ca Sm Tl
2 3 2
direct
0.135 0.135 0.283
0.865 0.865 0.717
0.369 0.369 0.059
0.500 0.500 0.500
0.631 0.631 0.941
0.169 0.169 0.699
0.831 0.831 0.301

---

(7)
PBE-GGA Ca2SmTl, optimized geometry; total magnetic moment = 0.13 μB per atom; calculated total energy = -2.860 eV per atom; energy of formation = -0.088 eV per atom
1.0
1.877 1.083 11.286
-1.877 1.083 11.286
0.000 -2.167 11.286
Ca Sm Tl
2 1 1
direct
0.000 0.000 0.000
0.184 0.184 0.184
0.758 0.758 0.758
0.592 0.592 0.592

---

(8)
PBE-GGA CaSm3Tl, optimized geometry; total magnetic moment = 0.00 μB per atom; calculated total energy = -3.756 eV per atom; energy of formation = -0.051 eV per atom
1.0
5.394 0.000 0.000
0.000 8.808 0.000
0.000 0.000 7.094
Ca Sm Tl
2 6 2
direct
0.250 0.250 0.234
0.750 0.750 0.766
0.250 0.055 0.733
0.250 0.445 0.733
0.250 0.750 0.072
0.750 0.250 0.928
0.750 0.555 0.267
0.750 0.945 0.267
0.250 0.750 0.495
0.750 0.250 0.505

---

(9)
PBE-GGA CaSm5Tl6, optimized geometry; total magnetic moment = 0.00 μB per atom; calculated total energy = -3.701 eV per atom; energy of formation = -0.384 eV per atom
1.0
5.474 0.000 0.000
0.000 7.691 0.000
-2.695 0.000 8.230
Ca Sm Tl
1 5 6
direct
0.000 0.000 0.000
0.000 0.500 0.000
0.333 0.500 0.666
0.336 0.000 0.671
0.664 0.000 0.329
0.667 0.500 0.334
0.166 0.248 0.333
0.166 0.752 0.333
0.500 0.250 0.000
0.500 0.750 0.000
0.834 0.248 0.667
0.834 0.752 0.667

---

(10)
PBE-GGA CaSm2Tl2, optimized geometry; total magnetic moment = 0.00 μB per atom; calculated total energy = -3.559 eV per atom; energy of formation = -0.325 eV per atom
1.0
5.436 0.000 0.000
2.717 4.723 0.000
2.712 1.551 5.876
Ca Sm Tl
1 2 2
direct
0.000 0.000 0.000
0.221 0.224 0.335
0.779 0.776 0.665
0.413 0.409 0.762
0.587 0.591 0.238

---

(11)
PBE-GGA CaSmTmTl, optimized geometry; total magnetic moment = 0.00 μB per atom; calculated total energy = -3.428 eV per atom; energy of formation = -0.039 eV per atom
1.0
0.000 3.909 3.909
3.909 0.000 3.909
3.909 3.909 0.000
Ca Sm Tm Tl
1 1 1 1
direct
0.000 0.000 0.000
0.250 0.250 0.250
0.750 0.750 0.750
0.500 0.500 0.500

---

(12)
PBE-GGA CaSm2YTl4, optimized geometry; total magnetic moment = 0.00 μB per atom; calculated total energy = -3.806 eV per atom; energy of formation = -0.385 eV per atom
1.0
2.720 1.570 8.924
-2.720 1.570 8.924
0.000 -3.141 8.924
Ca Sm Y Tl
1 2 1 4
direct
0.000 0.000 0.000
0.253 0.253 0.253
0.747 0.747 0.747
0.500 0.500 0.500
0.127 0.127 0.127
0.377 0.377 0.377
0.623 0.623 0.623
0.873 0.873 0.873

---

How do the records compare in ρ? In the order shown, they have 5.7; 6.8; 9.6; 9.5; 9.7; 6.7; 5.2; 6.9; 9.7; 8.2; 7.8; 9.1 g/cm³.